Record 1
The following is a DFT calculation (PBE) of an optimized crystal structure of SiH2Ir2.

Calculated values
Mass density: 13.8 g cm⁻³
Total moment: 0.000 μB/f.u.
E above lowest polymorph: 22 meV/atom

The structure in CIF format:
```
data_SiH2Ir2
_cell_length_a 3.947
_cell_length_b 3.947
_cell_length_c 4.245
_cell_angle_alpha 62.30
_cell_angle_beta 62.30
_cell_angle_gamma 90.00
_space_group_name_H-M_alt 'P 1'
_space_group_IT_number 1
loop_
_space_group_symop_operation_xyz
'x,y,z'
loop_
_atom_site_label
_atom_site_type_symbol
_atom_site_fract_x
_atom_site_fract_y
_atom_site_fract_z
Ir1 Ir 0.250 0.750 0.500
Ir2 Ir 0.750 0.250 0.500
H1 H 0.684 0.684 0.632
H2 H 0.316 0.316 0.368
Si1 Si 0.000 0.000 0.000
```

---

Record 2
The following is a DFT calculation (PBE) of an optimized crystal structure of LiNb3Rh4.

Calculated values
Mass density: 9.5 g cm⁻³
Total moment: 0.000 μB/f.u.
Calculated formation energy: -330.2 kJ/mol of formula units

The structure in CIF format:
```
data_LiNb3Rh4
_cell_length_a 4.118
_cell_length_b 4.118
_cell_length_c 7.750
_cell_angle_alpha 105.42
_cell_angle_beta 105.41
_cell_angle_gamma 90.00
_space_group_name_H-M_alt 'P 1'
_space_group_IT_number 1
loop_
_space_group_symop_operation_xyz
'x,y,z'
loop_
_atom_site_label
_atom_site_type_symbol
_atom_site_fract_x
_atom_site_fract_y
_atom_site_fract_z
Nb1 Nb 0.000 0.500 0.000
Nb2 Nb 0.251 0.751 0.503
Nb3 Nb 0.749 0.249 0.497
Rh1 Rh 0.616 0.617 0.233
Rh2 Rh 0.116 0.116 0.233
Rh3 Rh 0.884 0.884 0.767
Rh4 Rh 0.384 0.383 0.767
Li1 Li 0.500 0.000 0.000
```